A relaxed Li5As crystal, computed with GGA-PBEsol.

The structure in CIF format:
```
data_Li5As
_chemical_formula_sum 'Li5 As1'
_cell_length_a 4.9354
_cell_length_b 4.9354
_cell_length_c 4.7807
_cell_angle_alpha 90.00
_cell_angle_beta 90.00
_cell_angle_gamma 120.00
_symmetry_space_group_name_H-M 'P 6/m m m'
_symmetry_Int_Tables_number 191
_symmetry_space_group_name_Hall '-P 6 2'
loop_
_atom_site_label
_atom_site_type_symbol
_atom_site_fract_x
_atom_site_fract_y
_atom_site_fract_z
_atom_site_occupancy
Li1 Li 0.0000 0.5000 0.0000 1
Li2 Li 0.3333 0.6667 0.5000 1
As1 As 0.0000 0.0000 0.5000 1
```

## Properties
energy relative to the elements: -17 meV/atom
calculated volume: 16.81 Å³/atom
spin magnetization: 0.18 μB per atom

---

A relaxed BiSN2O crystal, computed with GGA-PBEsol.

The structure in CIF format:
```
data_BiSN2O
_chemical_formula_sum 'Bi1 S1 N2 O1'
_cell_length_a 4.3376
_cell_length_b 4.3376
_cell_length_c 4.0481
_cell_angle_alpha 90.00
_cell_angle_beta 90.00
_cell_angle_gamma 90.00
_symmetry_space_group_name_H-M 'P 4/m m m'
_symmetry_Int_Tables_number 123
_symmetry_space_group_name_Hall '-P 4 2'
loop_
_atom_site_label
_atom_site_type_symbol
_atom_site_fract_x
_atom_site_fract_y
_atom_site_fract_z
_atom_site_occupancy
Bi1 Bi 0.0000 0.0000 0.0000 1
S1 S 0.5000 0.5000 0.5000 1
N1 N 0.0000 0.5000 0.0000 1
O1 O 0.0000 0.0000 0.5000 1
```

## Properties
calculated volume: 15.23 Å³/atom
spin magnetization: 0.14 μB per atom
uncorrected formation energy: 8.52 eV per formula unit

---

A relaxed CuAs2W crystal, computed with GGA-PBEsol.

The structure in CIF format:
```
data_CuAs2W
_chemical_formula_sum 'Cu2 As4 W2'
_cell_length_a 3.3483
_cell_length_b 4.7302
_cell_length_c 7.8885
_cell_angle_alpha 90.00
_cell_angle_beta 90.00
_cell_angle_gamma 90.00
_symmetry_space_group_name_H-M 'C m m m'
_symmetry_Int_Tables_number 65
_symmetry_space_group_name_Hall '-C 2 2'
loop_
_atom_site_label
_atom_site_type_symbol
_atom_site_fract_x
_atom_site_fract_y
_atom_site_fract_z
_atom_site_occupancy
Cu1 Cu 0.0000 0.0000 0.0000 1
As1 As 0.0000 0.5000 0.2475 1
W1 W 0.0000 0.0000 0.5000 1
```

## Properties
polymorph energy (0 for the lowest one): 86 kJ/mol of formula units
energy relative to the elements: 441 meV/atom
calculated volume: 15.62 Å³/atom
spin magnetization: 0.00 μB per atom

---

A relaxed K3SF crystal, computed with GGA-PBEsol.

The structure in CIF format:
```
data_K3SF
_chemical_formula_sum 'K3 S1 F1'
_cell_length_a 4.9937
_cell_length_b 4.9937
_cell_length_c 4.9937
_cell_angle_alpha 90.00
_cell_angle_beta 90.00
_cell_angle_gamma 90.00
_symmetry_space_group_name_H-M 'P m -3 m'
_symmetry_Int_Tables_number 221
_symmetry_space_group_name_Hall '-P 4 2 3'
loop_
_atom_site_label
_atom_site_type_symbol
_atom_site_fract_x
_atom_site_fract_y
_atom_site_fract_z
_atom_site_occupancy
K1 K 0.0000 0.0000 0.5000 1
S1 S 0.5000 0.5000 0.5000 1
F1 F 0.0000 0.0000 0.0000 1
```

## Properties
calculated volume: 24.91 Å³/atom
spin magnetization: 0.00 μB per atom
uncorrected formation energy: -8.40 eV per formula unit

---

A relaxed MnAl2Ag crystal, computed with GGA-PBEsol.

The structure in CIF format:
```
data_MnAl2Ag
_chemical_formula_sum 'Mn2 Al4 Ag2'
_cell_length_a 8.6144
_cell_length_b 2.7934
_cell_length_c 4.9804
_cell_angle_alpha 90.00
_cell_angle_beta 101.79
_cell_angle_gamma 90.00
_symmetry_space_group_name_H-M 'C 1 2/m 1'
_symmetry_Int_Tables_number 12
_symmetry_space_group_name_Hall '-C 2y'
loop_
_atom_site_label
_atom_site_type_symbol
_atom_site_fract_x
_atom_site_fract_y
_atom_site_fract_z
_atom_site_occupancy
Mn1 Mn 0.0000 0.0000 0.0000 1
Al1 Al 0.2453 0.5000 0.2310 1
Ag1 Ag 0.0000 0.5000 0.5000 1
```

## Properties
polymorph energy (0 for the lowest one): 68 kJ/mol of formula units
energy relative to the elements: 18 meV/atom
calculated volume: 14.66 Å³/atom
spin magnetization: 0.59 μB per atom

---

A relaxed SbI2NCl crystal, computed with GGA-PBEsol.

The structure in CIF format:
```
data_SbI2NCl
_chemical_formula_sum 'Sb1 I2 N1 Cl1'
_cell_length_a 4.9684
_cell_length_b 4.9684
_cell_length_c 4.7524
_cell_angle_alpha 90.00
_cell_angle_beta 90.00
_cell_angle_gamma 90.00
_symmetry_space_group_name_H-M 'P 4/m m m'
_symmetry_Int_Tables_number 123
_symmetry_space_group_name_Hall '-P 4 2'
loop_
_atom_site_label
_atom_site_type_symbol
_atom_site_fract_x
_atom_site_fract_y
_atom_site_fract_z
_atom_site_occupancy
Sb1 Sb 0.0000 0.0000 0.0000 1
I1 I 0.0000 0.5000 0.5000 1
N1 N 0.0000 0.0000 0.5000 1
Cl1 Cl 0.5000 0.5000 0.0000 1
```

## Properties
polymorph energy (0 for the lowest one): 0 kJ/mol of formula units
calculated volume: 23.46 Å³/atom
spin magnetization: 0.00 μB per atom
uncorrected formation energy: 3.32 eV per formula unit

---

A relaxed Cd3Au crystal, computed with GGA-PBEsol.

The structure in CIF format:
```
data_Cd3Au
_chemical_formula_sum 'Cd6 Au2'
_cell_length_a 5.3903
_cell_length_b 5.3903
_cell_length_c 5.3903
_cell_angle_alpha 90.00
_cell_angle_beta 90.00
_cell_angle_gamma 90.00
_symmetry_space_group_name_H-M 'P m -3 n'
_symmetry_Int_Tables_number 223
_symmetry_space_group_name_Hall '-P 4n 2 3'
loop_
_atom_site_label
_atom_site_type_symbol
_atom_site_fract_x
_atom_site_fract_y
_atom_site_fract_z
_atom_site_occupancy
Cd1 Cd 0.0000 0.2500 0.5000 1
Au1 Au 0.0000 0.0000 0.0000 1
```

## Properties
energy relative to the elements: -69 meV/atom
calculated volume: 19.58 Å³/atom
spin magnetization: 0.00 μB per atom

---

A relaxed BaBOs3 crystal, computed with GGA-PBEsol.

The structure in CIF format:
```
data_BaBOs3
_chemical_formula_sum 'Ba1 B1 Os3'
_cell_length_a 5.0244
_cell_length_b 5.0244
_cell_length_c 5.0244
_cell_angle_alpha 90.00
_cell_angle_beta 90.00
_cell_angle_gamma 90.00
_symmetry_space_group_name_H-M 'P m -3 m'
_symmetry_Int_Tables_number 221
_symmetry_space_group_name_Hall '-P 4 2 3'
loop_
_atom_site_label
_atom_site_type_symbol
_atom_site_fract_x
_atom_site_fract_y
_atom_site_fract_z
_atom_site_occupancy
Ba1 Ba 0.0000 0.0000 0.0000 1
B1 B 0.5000 0.5000 0.5000 1
Os1 Os 0.0000 0.0000 0.5000 1
```

## Properties
polymorph energy (0 for the lowest one): 1860 kJ/mol of formula units
energy relative to the elements: 4796 meV/atom
calculated volume: 25.37 Å³/atom
spin magnetization: 0.95 μB per atom